GGA-PBE Tb4Y7Th, relaxed; energy relative to the elements = 0.10 eV/atom
1.0
6.563 0.000 0.000
0.992 6.775 0.000
1.992 0.529 8.798
Tb Y Th
4 7 1
Cartesian
1.787 2.276 2.524
4.478 6.312 6.084
5.070 0.992 2.714
7.760 5.028 6.274
2.256 2.217 8.379
2.691 5.640 3.145
3.677 2.969 5.423
3.281 0.000 0.000
5.870 4.335 3.375
6.857 1.664 5.653
7.292 5.087 0.419
3.778 3.387 0.000


GGA-PBE Ce4MgRh2, relaxed; energy relative to the elements = -0.36 eV/atom
1.0
6.365 0.000 0.000
-2.078 6.832 0.000
-1.562 -2.915 7.740
Ce Mg Rh
8 2 4
Cartesian
0.000 0.000 0.000
-1.240 -0.708 4.930
-0.679 3.608 0.269
0.572 1.838 3.213
1.824 -0.943 3.187
1.824 -1.896 6.058
2.661 4.578 1.828
3.902 1.765 5.292
0.746 1.447 6.430
3.842 1.267 1.949
-1.692 3.585 3.284
1.630 2.084 0.471
0.708 6.070 0.392
1.891 3.703 4.646


GGA-PBE YScNiHg, relaxed; energy relative to the elements = -0.35 eV/atom
1.0
6.960 0.000 0.000
0.000 6.960 0.000
0.000 0.000 6.960
Y Sc Ni Hg
4 4 4 4
Cartesian
0.000 0.000 0.000
0.000 3.480 3.480
3.480 0.000 3.480
3.480 3.480 0.000
0.000 0.000 3.480
0.000 3.480 0.000
3.480 0.000 0.000
3.480 3.480 3.480
1.740 1.740 5.220
1.740 5.220 1.740
5.220 1.740 1.740
5.220 5.220 5.220
1.740 1.740 1.740
1.740 5.220 5.220
5.220 1.740 5.220
5.220 5.220 1.740


GGA-PBE CeZrPt, relaxed; energy relative to the elements = -0.48 eV/atom
1.0
4.553 0.000 0.000
-2.277 3.943 0.000
0.000 0.000 4.032
Ce Zr Pt
1 1 1
Cartesian
0.000 0.000 0.000
0.000 2.629 2.188
2.277 1.314 1.643


GGA-PBE Nd4Te5Ir, relaxed; formation energy without anion corrections = -1.001 eV per atom
1.0
9.632 -2.189 0.000
9.632 2.189 0.000
-2.023 0.000 8.430
Nd Te Ir
4 5 1
Cartesian
-0.463 0.000 1.978
4.701 0.000 7.689
12.540 0.000 0.741
17.704 0.000 6.452
2.518 0.000 2.925
1.599 0.000 6.959
8.621 0.000 4.215
15.642 0.000 1.471
14.724 0.000 5.506
9.632 0.000 0.000


GGA-PBE CaNi5P3, relaxed; energy relative to the elements = -0.72 eV/atom
1.0
1.785 -5.847 0.000
1.785 5.847 0.000
0.000 0.000 11.508
Ca Ni P
2 10 6
Cartesian
1.785 3.979 8.631
1.785 -3.979 2.877
0.000 0.000 0.000
0.000 0.000 5.754
1.785 3.517 0.815
1.785 3.517 4.939
1.785 0.575 7.425
1.785 0.575 9.836
1.785 -0.575 1.671
1.785 -0.575 4.082
1.785 -3.517 6.568
1.785 -3.517 10.693
1.785 4.485 2.877
1.785 1.385 0.465
1.785 1.385 5.289
1.785 -1.385 6.219
1.785 -1.385 11.042
1.785 -4.485 8.631


GGA-PBE CaAlCuPt2, relaxed; energy relative to the elements = -0.75 eV/atom
1.0
3.977 0.000 0.000
0.000 3.977 0.000
0.000 0.000 11.696
Ca Al Cu Pt
2 2 2 4
Cartesian
0.000 0.000 0.000
1.989 1.989 5.848
0.000 1.989 2.924
1.989 0.000 8.772
0.000 1.989 8.772
1.989 0.000 2.924
0.000 0.000 4.520
0.000 0.000 7.176
1.989 1.989 1.328
1.989 1.989 10.368


GGA-PBE NaCaPd2, relaxed; energy relative to the elements = -0.17 eV/atom
1.0
7.663 0.000 0.000
0.000 7.663 0.000
0.000 0.000 5.815
Na Ca Pd
4 4 8
Cartesian
0.000 0.000 0.000
0.000 3.832 1.454
3.832 0.000 4.361
3.832 3.832 2.908
0.000 0.000 2.908
0.000 3.832 4.361
3.832 0.000 1.454
3.832 3.832 0.000
1.882 1.916 0.727
1.916 5.713 2.181
1.916 5.781 5.088
1.950 1.916 3.634
5.713 5.747 3.634
5.747 1.882 5.088
5.747 1.950 2.181
5.781 5.747 0.727


GGA-PBE Li2ZnPdF8, relaxed; formation energy without anion corrections = -2.101 eV per atom
1.0
4.719 0.000 0.000
0.000 6.391 0.000
-0.342 0.000 4.733
Li Zn Pd F
2 1 1 8
Cartesian
0.000 1.492 0.000
0.000 4.899 0.000
2.189 0.000 2.367
2.189 3.195 2.367
0.880 3.195 0.925
0.892 0.000 0.953
1.217 1.741 3.251
1.217 4.650 3.251
3.160 1.741 1.482
3.160 4.650 1.482
3.485 0.000 3.780
3.497 3.195 3.808


GGA-PBE Rb2HfMnBr6, relaxed; formation energy without anion corrections = -1.128 eV per atom
1.0
0.000 5.398 5.398
5.398 0.000 5.398
5.398 5.398 0.000
Rb Hf Mn Br
2 1 1 6
Cartesian
2.699 2.699 2.699
8.097 8.097 8.097
0.000 0.000 0.000
5.398 5.398 5.398
5.398 5.398 2.697
5.398 2.697 5.398
8.099 5.398 5.398
2.697 5.398 5.398
5.398 8.099 5.398
5.398 5.398 8.099


GGA-PBE Rb3Ga2Au2, relaxed; energy relative to the elements = -0.22 eV/atom
1.0
4.827 0.000 0.000
0.000 5.554 0.000
0.000 0.000 18.832
Rb Ga Au
6 4 4
Cartesian
0.000 0.000 0.000
0.000 2.777 5.813
0.000 2.777 13.019
2.414 0.000 3.603
2.414 0.000 15.229
2.414 2.777 9.416
0.000 0.000 8.101
0.000 0.000 10.731
2.414 2.777 1.315
2.414 2.777 17.517
0.000 2.777 2.237
0.000 2.777 16.594
2.414 0.000 7.179
2.414 0.000 11.653


GGA-PBE LiCaF, relaxed; formation energy without anion corrections = -1.697 eV per atom
1.0
3.703 0.000 0.000
-1.851 3.207 0.000
0.000 0.000 6.665
Li Ca F
1 1 1
Cartesian
0.000 0.000 0.000
1.851 1.069 2.779
0.000 2.138 3.565